NbInPO after structural relaxation. Source: OQMD via LeMat-Bulk, functional GGA-PBE.

Cell: 4.063 4.063 7.816 Å, 90.00 90.00 90.00°
Space group P4/nmm (No. 129, origin choice 2)
Asymmetric unit:
Nb 0.250 0.750 0.000
In 0.250 0.250 0.375
P 0.250 0.250 0.806
O 0.250 0.750 0.500

ΔE to the lowest computed polymorph ... 251 meV per atom

***

NbInPO after structural relaxation. Source: OQMD via LeMat-Bulk, functional GGA-PBE.

Cell: 3.853 8.057 5.059 Å, 90.00 90.00 90.00°
Space group Pmc2_1 (No. 26)
Asymmetric unit:
Nb 0.000 0.124 0.000
In 0.500 0.406 0.547
P 0.000 0.181 0.498
O 0.500 0.173 0.001

ΔE to the lowest computed polymorph ... 0 meV per atom

***

NbInSn2O6 after structural relaxation. Source: OQMD via LeMat-Bulk, functional GGA-PBE.

Cell: 5.682 5.807 9.902 Å, 90.00 124.80 90.00°
Space group P2_1/c (No. 14)
Asymmetric unit:
Nb 0.000 0.000 0.000
In 0.500 0.000 0.500
Sn 0.259 0.024 0.754
O 0.149 0.018 0.240
O 0.234 0.713 0.047
O 0.336 0.188 0.042

Total energy ... -6.72 eV per atom

***

Sr2NbInO6 after structural relaxation. Source: OQMD via LeMat-Bulk, functional GGA-PBE.

Cell: 5.743 5.782 9.947 Å, 90.00 125.19 90.00°
Space group P2_1/c (No. 14)
Asymmetric unit:
Sr 0.243 0.034 0.250
Nb 0.000 0.000 0.500
In 0.500 0.000 0.000
O 0.161 0.222 0.959
O 0.238 0.705 0.961
O 0.317 0.019 0.740

Total energy ... -7.16 eV per atom

***

NbInTe2O8 after structural relaxation. Source: OQMD via LeMat-Bulk, functional GGA-PBE.

Cell: 7.634 10.740 7.683 Å, 90.00 90.00 90.00°
Space group Pca2_1 (No. 29)
Asymmetric unit:
Nb 0.026 0.001 0.000
In 0.005 0.513 0.493
Te 0.203 0.248 0.335
Te 0.229 0.723 0.254
O 0.027 0.051 0.237
O 0.051 0.634 0.797
O 0.063 0.590 0.224
O 0.078 0.169 0.909
O 0.078 0.176 0.528
O 0.185 0.668 0.507
O 0.244 0.942 0.487
O 0.248 0.396 0.976

Total energy ... -6.48 eV per atom

***

Y2NbInO6 after structural relaxation. Source: OQMD via LeMat-Bulk, functional GGA-PBE.

Cell: 5.508 5.846 9.586 Å, 90.00 124.14 90.00°
Space group P2_1/c (No. 14)
Asymmetric unit:
Y 0.228 0.073 0.252
Nb 0.000 0.000 0.500
In 0.500 0.000 0.000
O 0.106 0.191 0.927
O 0.258 0.686 0.935
O 0.391 0.063 0.745

Total energy ... -8.11 eV per atom

***

Nb2InOs after structural relaxation. Source: OQMD via LeMat-Bulk, functional GGA-PBE.

Cell: 6.556 6.556 6.556 Å, 90.00 90.00 90.00°
Space group F-43m (No. 216)
Asymmetric unit:
Nb 0.000 0.000 0.000
Nb 0.250 0.250 0.250
In 0.000 0.000 0.500
Os 0.250 0.250 0.750

Total energy ... -8.37 eV per atom

***

NbInOs2 after structural relaxation. Source: OQMD via LeMat-Bulk, functional GGA-PBE.

Cell: 6.436 6.436 6.436 Å, 90.00 90.00 90.00°
Space group F-43m (No. 216)
Asymmetric unit:
Nb 0.000 0.000 0.000
In 0.250 0.250 0.750
Os 0.000 0.000 0.500
Os 0.250 0.250 0.250

Total energy ... -8.33 eV per atom

***

Calculated M_tot, 0.0028, 0.0003, 0.0002, 0.0000, 0.0002, 0.2000, 0.0027, 0.0044 μB per atom (same order as the records).